Here is a relaxed structure of Sc2MnW from the Alexandria database. Energies are from GGA-PBEsol.

Calculated values
total moment: 0.000 μB per formula unit
space-group type: P4mm
theoretical density: 7.8 g/cm³
ΔH_f (0 K): 22 kJ/mol of formula units
raw total energy: -9.137 eV per atom
DOS(E_F): 3.2 states/eV/cell

a = 3.0215 Å, b = 3.0215 Å, c = 7.6465 Å
α = 90.00°, β = 90.00°, γ = 90.00°
Closest atoms and distances in Å follow each position.
Element x y z (fractional)
Sc1 0.0000 0.0000 0.0000  4 Mn 2.71, 1 W 3.00, 4 Sc 3.02
Sc2 0.5000 0.5000 0.3540  4 W 2.89, 4 Sc 3.02
Mn1 0.5000 0.5000 0.7813  4 W 2.51, 4 Sc 2.71
W1 0.0000 0.0000 0.6082  4 Mn 2.51